[1]
This record from Alexandria via LeMat-Bulk describes an optimized crystal structure of BaGePd3. The functional is GGA-PBE.

Cell lengths 6.886, 6.886, 6.886 Å; angles 129.70, 92.85, 108.15 degrees
Fractional coordinates of all 10 atoms:
Ba  0.303  0.053  0.250
Ba  0.697  0.947  0.750
Ge  0.000  0.500  0.500
Ge  0.500  0.500  0.000
Pd  0.139  0.389  0.750
Pd  0.217  0.000  0.717
Pd  0.217  0.500  0.217
Pd  0.783  0.000  0.283
Pd  0.783  0.500  0.783
Pd  0.861  0.611  0.250

Values from the calculation:
Formation energy   -605.2 meV per atom
Offset from the most stable computed form   0.0 meV per atom
Symmetry   Imma, No. 74
DFT total energy   -25.145 eV per formula unit


[2]
This record from Alexandria via LeMat-Bulk describes an optimized crystal structure of Tc4AsBr. The functional is GGA-PBE.

Cell lengths 5.241, 5.241, 5.241 Å; angles 60.00, 60.00, 60.00 degrees
Fractional coordinates of all 6 atoms:
Tc  0.125  0.125  0.125
Tc  0.125  0.125  0.626
Tc  0.125  0.626  0.125
Tc  0.626  0.125  0.125
As  0.750  0.750  0.750
Br  0.500  0.500  0.500

Values from the calculation:
Symmetry   F-43m, No. 216
Formation energy without anion corrections   0.977 eV per atom
DFT total energy   -41.925 eV per formula unit


[3]
This record from Alexandria via LeMat-Bulk describes an optimized crystal structure of Tm3Th2Cd3. The functional is GGA-PBE.

Cell lengths 3.620, 5.410, 22.642 Å; angles 90.00, 90.00, 90.00 degrees
Fractional coordinates of all 16 atoms:
Tm  0.000  0.000  0.000
Tm  0.000  0.500  0.121
Tm  0.000  0.500  0.879
Tm  0.500  0.000  0.379
Tm  0.500  0.000  0.621
Tm  0.500  0.500  0.500
Th  0.000  0.000  0.235
Th  0.000  0.000  0.765
Th  0.500  0.500  0.265
Th  0.500  0.500  0.735
Cd  0.000  0.000  0.500
Cd  0.000  0.500  0.388
Cd  0.000  0.500  0.612
Cd  0.500  0.000  0.112
Cd  0.500  0.000  0.888
Cd  0.500  0.500  0.000

Values from the calculation:
Formation energy   -158.9 meV per atom
Symmetry   Immm, No. 71
DFT total energy   -32.270 eV per formula unit


[4]
This record from Alexandria via LeMat-Bulk describes an optimized crystal structure of ZrCoHg2. The functional is GGA-PBE.

Cell lengths 4.288, 4.288, 8.110 Å; angles 90.00, 90.00, 90.00 degrees
Fractional coordinates of all 8 atoms:
Zr  0.000  0.000  0.000
Zr  0.500  0.500  0.500
Co  0.000  0.000  0.500
Co  0.500  0.500  0.000
Hg  0.000  0.500  0.250
Hg  0.000  0.500  0.750
Hg  0.500  0.000  0.250
Hg  0.500  0.000  0.750

Values from the calculation:
Formation energy   124.4 meV per atom
Symmetry   I4/mmm, No. 139
DFT total energy   -15.760 eV per formula unit


- Look up the DFT total energy of the first one.
  -25.145 eV per formula unit